# 1
{
  "formula": "Y5Co2Te2",
  "functional": "SCAN",
  "state": "PBEsol geometry",
  "cell": [[1.9396, -7.4432, 0.0000], [1.9396, 7.4432, 0.0000], [0.0000, 0.0000, 14.7953]],
  "species": ["Y", "Y", "Y", "Y", "Y", "Y", "Y", "Y", "Y", "Y", "Co", "Co", "Co", "Co", "Te", "Te", "Te", "Te"],
  "fractional_positions": [[0.0393, 0.9607, 0.6237], [0.0393, 0.9607, 0.8763], [0.2575, 0.7425, 0.1285], [0.2575, 0.7425, 0.3715], [0.3949, 0.6051, 0.7500], [0.6051, 0.3949, 0.2500], [0.7425, 0.2575, 0.6285], [0.7425, 0.2575, 0.8715], [0.9607, 0.0393, 0.1237], [0.9607, 0.0393, 0.3763], [0.1788, 0.8212, 0.7500], [0.4091, 0.5909, 0.2500], [0.5909, 0.4091, 0.7500], [0.8212, 0.1788, 0.2500], [0.3837, 0.6163, 0.5386], [0.3837, 0.6163, 0.9614], [0.6163, 0.3837, 0.0386], [0.6163, 0.3837, 0.4614]],
  "total_energy_ev_per_atom": -28.35,
  "raw_formation_energy_ev_per_atom": -0.760,
  "mass_density_g_cm3": 6.36
}

=====

# 2
{
  "formula": "CsNaSb3",
  "functional": "SCAN",
  "state": "PBEsol geometry",
  "cell": [[6.1439, 0.0000, 0.0000], [0.0000, 6.1439, 0.0000], [0.0000, 0.0000, 6.1439]],
  "species": ["Cs", "Na", "Sb", "Sb", "Sb"],
  "fractional_positions": [[0.0000, 0.0000, 0.0000], [0.5000, 0.5000, 0.5000], [0.0000, 0.0000, 0.5000], [0.0000, 0.5000, 0.0000], [0.5000, 0.0000, 0.0000]],
  "total_energy_ev_per_atom": -29.58,
  "raw_formation_energy_ev_per_atom": 1.186,
  "mass_density_g_cm3": 3.73
}

=====

# 3
{
  "formula": "Tl2ReAg",
  "functional": "SCAN",
  "state": "PBEsol geometry",
  "cell": [[-2.0007, 2.0007, 4.7739], [2.0007, -2.0007, 4.7739], [2.0007, 2.0007, -4.7739]],
  "species": ["Tl", "Tl", "Re", "Ag"],
  "fractional_positions": [[0.0000, 0.0000, 0.0000], [0.7500, 0.2500, 0.5000], [0.2500, 0.7500, 0.5000], [0.5000, 0.5000, 0.0000]],
  "total_energy_ev_per_atom": -60.83,
  "mass_density_g_cm3": 15.27,
  "ef_ev_per_atom": 0.967
}

=====

# 4
{
  "formula": "Y2MgCl",
  "functional": "SCAN",
  "state": "PBEsol geometry",
  "cell": [[3.4011, 0.0000, 0.0000], [0.0000, 3.4011, 0.0000], [0.0000, 0.0000, 9.7527]],
  "species": ["Y", "Y", "Mg", "Cl"],
  "fractional_positions": [[0.0000, 0.0000, 0.0000], [0.5000, 0.5000, 0.2683], [0.5000, 0.5000, 0.7666], [0.0000, 0.0000, 0.4341]],
  "polymorph_energy_ev_per_atom": 0.000,
  "total_energy_ev_per_atom": -17.82,
  "raw_formation_energy_ev_per_atom": -0.657,
  "mass_density_g_cm3": 3.50
}

=====

# 5
{
  "formula": "SrSe2I",
  "functional": "SCAN",
  "state": "PBEsol geometry",
  "cell": [[2.3883, 1.3789, 8.0361], [-2.3883, 1.3789, 8.0361], [0.0000, -2.7577, 8.0361]],
  "species": ["Sr", "Se", "Se", "I"],
  "fractional_positions": [[0.0000, 0.0000, 0.0000], [0.3883, 0.3883, 0.3883], [0.6117, 0.6117, 0.6117], [0.5000, 0.5000, 0.5000]],
  "total_energy_ev_per_atom": -25.66,
  "raw_formation_energy_ev_per_atom": -0.862,
  "mass_density_g_cm3": 3.90
}

=====

# 6
{
  "formula": "DyCoSi",
  "functional": "SCAN",
  "state": "PBEsol geometry",
  "cell": [[6.8935, 0.0000, 0.0000], [0.0000, 4.1569, 0.0000], [0.0000, 0.0000, 6.6256]],
  "species": ["Dy", "Dy", "Dy", "Dy", "Co", "Co", "Co", "Co", "Si", "Si", "Si", "Si"],
  "fractional_positions": [[0.0222, 0.2500, 0.1814], [0.4778, 0.7500, 0.6814], [0.5222, 0.2500, 0.3186], [0.9778, 0.7500, 0.8186], [0.1405, 0.7500, 0.4329], [0.3595, 0.2500, 0.9329], [0.6405, 0.7500, 0.0671], [0.8595, 0.2500, 0.5671], [0.1923, 0.2500, 0.6110], [0.3077, 0.7500, 0.1110], [0.6923, 0.2500, 0.8890], [0.8077, 0.7500, 0.3890]],
  "total_energy_ev_per_atom": -25.72,
  "raw_formation_energy_ev_per_atom": -0.678,
  "mass_density_g_cm3": 8.73
}

=====

# 7
{
  "formula": "YMgRe2",
  "functional": "SCAN",
  "state": "PBEsol geometry",
  "cell": [[2.9265, 0.0000, 0.0000], [0.0000, 4.2732, 0.0000], [-1.4043, 0.0000, 5.8831]],
  "species": ["Y", "Mg", "Re", "Re"],
  "fractional_positions": [[0.0000, 0.0000, 0.0000], [0.5914, 0.5000, 0.2960], [0.0489, 0.0000, 0.5461], [0.4212, 0.5000, 0.7158]],
  "total_energy_ev_per_atom": -43.52,
  "mass_density_g_cm3": 10.96,
  "ef_ev_per_atom": 0.237
}

=====

# 8
{
  "formula": "MgNbCrRe2",
  "functional": "SCAN",
  "state": "PBEsol geometry",
  "cell": [[4.5099, 0.0000, 0.0000], [0.0000, 4.5099, 0.0000], [0.0000, 0.0000, 4.1476]],
  "species": ["Mg", "Nb", "Cr", "Re", "Re"],
  "fractional_positions": [[0.0000, 0.0000, 0.0000], [0.5000, 0.5000, 0.5000], [0.0000, 0.0000, 0.5000], [0.0000, 0.5000, 0.0000], [0.5000, 0.0000, 0.0000]],
  "total_energy_ev_per_atom": -37.91,
  "mass_density_g_cm3": 10.66,
  "ef_ev_per_atom": 1.824
}

=====

# 9
{
  "formula": "LiY3Mg",
  "functional": "SCAN",
  "state": "PBEsol geometry",
  "cell": [[5.6145, 0.0000, 0.0000], [0.0000, 5.6145, 0.0000], [0.0000, 0.0000, 5.6145]],
  "species": ["Li", "Y", "Y", "Y", "Mg"],
  "fractional_positions": [[0.0000, 0.0000, 0.0000], [0.0000, 0.5000, 0.5000], [0.5000, 0.0000, 0.5000], [0.5000, 0.5000, 0.0000], [0.5000, 0.5000, 0.5000]],
  "total_energy_ev_per_atom": -17.51,
  "mass_density_g_cm3": 2.80,
  "ef_ev_per_atom": 0.664
}

=====

# 10
{
  "formula": "YFe3B4O12",
  "functional": "SCAN",
  "state": "PBEsol geometry",
  "cell": [[4.6525, 2.6861, 2.3919], [-4.6525, 2.6861, 2.3919], [0.0000, -5.3722, 2.3919]],
  "species": ["Y", "Fe", "Fe", "Fe", "B", "B", "B", "B", "O", "O", "O", "O", "O", "O", "O", "O", "O", "O", "O", "O"],
  "fractional_positions": [[0.0000, 0.0000, 0.0000], [0.0000, 0.5610, 0.4390], [0.4390, 0.0000, 0.5610], [0.5610, 0.4390, 0.0000], [0.0620, 0.5000, 0.9380], [0.5000, 0.5000, 0.5000], [0.5000, 0.9380, 0.0620], [0.9380, 0.0620, 0.5000], [0.0313, 0.6331, 0.7791], [0.0875, 0.9125, 0.5000], [0.2209, 0.3669, 0.9687], [0.3509, 0.6491, 0.5000], [0.3669, 0.9687, 0.2209], [0.5000, 0.0875, 0.9125], [0.5000, 0.3509, 0.6491], [0.6331, 0.7791, 0.0313], [0.6491, 0.5000, 0.3509], [0.7791, 0.0313, 0.6331], [0.9125, 0.5000, 0.0875], [0.9687, 0.2209, 0.3669]],
  "total_energy_ev_per_atom": -11.70,
  "raw_formation_energy_ev_per_atom": -2.364,
  "mass_density_g_cm3": 4.55
}

=====

# 11
{
  "formula": "Ba3Ga3P5",
  "functional": "SCAN",
  "state": "PBEsol geometry",
  "cell": [[7.2672, 4.1957, 9.5840], [-7.2672, 4.1957, 9.5840], [0.0000, -8.3914, 9.5840]],
  "species": ["Ba", "Ba", "Ba", "Ba", "Ba", "Ba", "Ba", "Ba", "Ba", "Ba", "Ba", "Ba", "Ba", "Ba", "Ba", "Ba", "Ba", "Ba", "Ga", "Ga", "Ga", "Ga", "Ga", "Ga", "Ga", "Ga", "Ga", "Ga", "Ga", "Ga", "Ga", "Ga", "Ga", "Ga", "Ga", "Ga", "P", "P", "P", "P", "P", "P", "P", "P", "P", "P", "P", "P", "P", "P", "P", "P", "P", "P", "P", "P", "P", "P", "P", "P", "P", "P", "P", "P", "P", "P"],
  "fractional_positions": [[0.1021, 0.1021, 0.1021], [0.1388, 0.6483, 0.2274], [0.1483, 0.6388, 0.7274], [0.2274, 0.1388, 0.6483], [0.2500, 0.2500, 0.2500], [0.2726, 0.8517, 0.3612], [0.3517, 0.7726, 0.8612], [0.3612, 0.2726, 0.8517], [0.3979, 0.3979, 0.3979], [0.6021, 0.6021, 0.6021], [0.6388, 0.7274, 0.1483], [0.6483, 0.2274, 0.1388], [0.7274, 0.1483, 0.6388], [0.7500, 0.7500, 0.7500], [0.7726, 0.8612, 0.3517], [0.8517, 0.3612, 0.2726], [0.8612, 0.3517, 0.7726], [0.8979, 0.8979, 0.8979], [0.0117, 0.4162, 0.9246], [0.0203, 0.7500, 0.4797], [0.0754, 0.9883, 0.5838], [0.0838, 0.4883, 0.5754], [0.2500, 0.5203, 0.9797], [0.4162, 0.9246, 0.0117], [0.4246, 0.9162, 0.5117], [0.4797, 0.0203, 0.7500], [0.4883, 0.5754, 0.0838], [0.5117, 0.4246, 0.9162], [0.5203, 0.9797, 0.2500], [0.5754, 0.0838, 0.4883], [0.5838, 0.0754, 0.9883], [0.7500, 0.4797, 0.0203], [0.9162, 0.5117, 0.4246], [0.9246, 0.0117, 0.4162], [0.9797, 0.2500, 0.5203], [0.9883, 0.5838, 0.0754], [0.0291, 0.8856, 0.2943], [0.0537, 0.1226, 0.3898], [0.1102, 0.3774, 0.4463], [0.1144, 0.7057, 0.9709], [0.1226, 0.3898, 0.0537], [0.1264, 0.3736, 0.7500], [0.2057, 0.6144, 0.4709], [0.2500, 0.8736, 0.6264], [0.2943, 0.0291, 0.8856], [0.3736, 0.7500, 0.1264], [0.3774, 0.4463, 0.1102], [0.3856, 0.5291, 0.7943], [0.3898, 0.0537, 0.1226], [0.4463, 0.1102, 0.3774], [0.4709, 0.2057, 0.6144], [0.5291, 0.7943, 0.3856], [0.5537, 0.8898, 0.6226], [0.6102, 0.9463, 0.8774], [0.6144, 0.4709, 0.2057], [0.6226, 0.5537, 0.8898], [0.6264, 0.2500, 0.8736], [0.7057, 0.9709, 0.1144], [0.7500, 0.1264, 0.3736], [0.7943, 0.3856, 0.5291], [0.8736, 0.6264, 0.2500], [0.8774, 0.6102, 0.9463], [0.8856, 0.2943, 0.0291], [0.8898, 0.6226, 0.5537], [0.9463, 0.8774, 0.6102], [0.9709, 0.1144, 0.7057]],
  "total_energy_ev_per_atom": -20.86,
  "mass_density_g_cm3": 4.41,
  "ef_ev_per_atom": -0.890
}

=====

# 12
{
  "formula": "Cs2MnTe2S6",
  "functional": "SCAN",
  "state": "PBEsol geometry",
  "cell": [[6.8003, 0.0000, 0.0000], [-3.4001, 5.8892, 0.0000], [0.0000, 0.0000, 15.9190]],
  "species": ["Cs", "Cs", "Cs", "Cs", "Mn", "Mn", "Te", "Te", "Te", "Te", "S", "S", "S", "S", "S", "S", "S", "S", "S", "S", "S", "S"],
  "fractional_positions": [[0.3333, 0.6667, 0.2244], [0.3333, 0.6667, 0.7244], [0.6667, 0.3333, 0.2756], [0.6667, 0.3333, 0.7756], [0.0000, 0.0000, 0.0000], [0.0000, 0.0000, 0.5000], [0.3333, 0.6667, 0.4789], [0.3333, 0.6667, 0.9789], [0.6667, 0.3333, 0.0211], [0.6667, 0.3333, 0.5211], [0.0643, 0.3274, 0.4057], [0.0643, 0.7368, 0.9057], [0.2632, 0.3274, 0.9057], [0.2632, 0.9357, 0.4057], [0.3274, 0.0643, 0.0943], [0.3274, 0.2632, 0.5943], [0.6726, 0.7368, 0.4057], [0.6726, 0.9357, 0.9057], [0.7368, 0.0643, 0.5943], [0.7368, 0.6726, 0.0943], [0.9357, 0.2632, 0.0943], [0.9357, 0.6726, 0.5943]],
  "total_energy_ev_per_atom": -21.25,
  "raw_formation_energy_ev_per_atom": -0.693,
  "mass_density_g_cm3": 4.00
}